# 1
A plane-wave DFT calculation with PBE was carried out for a relaxed structure of YNbVS2.

**Formation energy (no corrections)**: 123.16 kJ per mole of atoms
**M_tot**: 0.106 μB per atom
**Total energy**: -5.505 eV/atom

The structure in CIF format:
```
data_YNbVS2
_chemical_formula_sum 'Y1 Nb1 V1 S2'
_space_group_name_H-M_alt 'P 4/m m m'
_space_group_IT_number 123
_space_group_name_Hall '-P 4 2'
_cell_length_a 5.008
_cell_length_b 5.008
_cell_length_c 5.291
_cell_angle_alpha 90.00
_cell_angle_beta 90.00
_cell_angle_gamma 90.00
loop_
_atom_site_label
_atom_site_type_symbol
_atom_site_fract_x
_atom_site_fract_y
_atom_site_fract_z
Y1 Y 0.000 0.000 0.000
Nb1 Nb 0.000 0.000 0.500
V1 V 0.500 0.500 0.500
S1 S 0.000 0.500 0.000
```

=====

# 2
A plane-wave DFT calculation with PBE was carried out for a relaxed structure of NbWS2.

**Formation energy (no corrections)**: -15.13 kJ per mole of atoms
**M_tot**: 0.000 μB per atom
**Total energy**: -7.976 eV/atom
**Energy above the most stable polymorph in this dataset**: 119 meV per atom

The structure in CIF format:
```
data_NbWS2
_chemical_formula_sum 'Nb4 W4 S8'
_space_group_name_H-M_alt 'F m -3 m'
_space_group_IT_number 225
_space_group_name_Hall '-F 4 2 3'
_cell_length_a 6.115
_cell_length_b 6.115
_cell_length_c 6.115
_cell_angle_alpha 90.00
_cell_angle_beta 90.00
_cell_angle_gamma 90.00
loop_
_atom_site_label
_atom_site_type_symbol
_atom_site_fract_x
_atom_site_fract_y
_atom_site_fract_z
Nb1 Nb 0.000 0.000 0.000
W1 W 0.000 0.000 0.500
S1 S 0.250 0.250 0.250
```

=====

# 3
A plane-wave DFT calculation with PBE was carried out for a relaxed structure of Nb3WS.

**Formation energy (no corrections)**: 141.84 kJ per mole of atoms
**M_tot**: 0.000 μB per atom
**Total energy**: -7.988 eV/atom
**Energy above the most stable polymorph in this dataset**: 1055 meV per atom

The structure in CIF format:
```
data_Nb3WS
_chemical_formula_sum 'Nb3 W1 S1'
_space_group_name_H-M_alt 'P m -3 m'
_space_group_IT_number 221
_space_group_name_Hall '-P 4 2 3'
_cell_length_a 4.897
_cell_length_b 4.897
_cell_length_c 4.897
_cell_angle_alpha 90.00
_cell_angle_beta 90.00
_cell_angle_gamma 90.00
loop_
_atom_site_label
_atom_site_type_symbol
_atom_site_fract_x
_atom_site_fract_y
_atom_site_fract_z
Nb1 Nb 0.000 0.000 0.500
W1 W 0.000 0.000 0.000
S1 S 0.500 0.500 0.500
```

=====

# 4
A plane-wave DFT calculation with PBE was carried out for a relaxed structure of NbWS6.

**Formation energy (no corrections)**: -34.20 kJ per mole of atoms
**M_tot**: 0.000 μB per atom
**Total energy**: -6.328 eV/atom

The structure in CIF format:
```
data_NbWS6
_chemical_formula_sum 'Nb2 W2 S12'
_space_group_name_H-M_alt 'C 1 2/m 1'
_space_group_IT_number 12
_space_group_name_Hall '-C 2y'
_cell_length_a 9.917
_cell_length_b 6.924
_cell_length_c 5.772
_cell_angle_alpha 90.00
_cell_angle_beta 123.45
_cell_angle_gamma 90.00
loop_
_atom_site_label
_atom_site_type_symbol
_atom_site_fract_x
_atom_site_fract_y
_atom_site_fract_z
Nb1 Nb 0.000 0.000 0.000
W1 W 0.000 0.500 0.500
S1 S 0.115 0.254 0.366
S2 S 0.242 0.500 0.937
```

=====

# 5
A plane-wave DFT calculation with PBE was carried out for a relaxed structure of NbWS.

**Formation energy (no corrections)**: -25.09 kJ per mole of atoms
**M_tot**: 0.000 μB per atom
**Total energy**: -9.310 eV/atom
**Energy above the most stable polymorph in this dataset**: 48 meV per atom

The structure in CIF format:
```
data_NbWS
_chemical_formula_sum 'Nb4 W4 S4'
_space_group_name_H-M_alt 'C 1 m 1'
_space_group_IT_number 8
_space_group_name_Hall 'C -2y'
_cell_length_a 11.186
_cell_length_b 3.265
_cell_length_c 6.321
_cell_angle_alpha 90.00
_cell_angle_beta 124.07
_cell_angle_gamma 90.00
loop_
_atom_site_label
_atom_site_type_symbol
_atom_site_fract_x
_atom_site_fract_y
_atom_site_fract_z
Nb1 Nb 0.000 0.000 0.000
Nb2 Nb 0.181 0.500 0.509
W1 W 0.266 0.000 0.942
W2 W 0.460 0.500 0.448
S1 S 0.200 0.500 0.135
S2 S 0.386 0.000 0.646
```

=====

# 6
A plane-wave DFT calculation with PBE was carried out for a relaxed structure of NbWS.

**Formation energy (no corrections)**: -17.41 kJ per mole of atoms
**M_tot**: 0.000 μB per atom
**Total energy**: -9.231 eV/atom
**Energy above the most stable polymorph in this dataset**: 127 meV per atom

The structure in CIF format:
```
data_NbWS
_chemical_formula_sum 'Nb2 W2 S2'
_space_group_name_H-M_alt 'A m m 2'
_space_group_IT_number 38
_space_group_name_Hall 'A 2 -2'
_cell_length_a 3.074
_cell_length_b 3.230
_cell_length_c 9.611
_cell_angle_alpha 90.00
_cell_angle_beta 90.00
_cell_angle_gamma 90.00
loop_
_atom_site_label
_atom_site_type_symbol
_atom_site_fract_x
_atom_site_fract_y
_atom_site_fract_z
Nb1 Nb 0.000 0.000 0.000
W1 W 0.500 0.000 0.703
S1 S 0.000 0.000 0.305
```

=====

# 7
A plane-wave DFT calculation with PBE was carried out for a relaxed structure of NbWS2.

**Formation energy (no corrections)**: -26.60 kJ per mole of atoms
**M_tot**: 0.000 μB per atom
**Total energy**: -8.095 eV/atom
**Energy above the most stable polymorph in this dataset**: 0 meV per atom

The structure in CIF format:
```
data_NbWS2
_chemical_formula_sum 'Nb3 W3 S6'
_space_group_name_H-M_alt 'R -3 m'
_space_group_IT_number 166
_space_group_name_Hall '-R 3 2"'
_cell_length_a 3.0744
_cell_length_b 3.0744
_cell_length_c 24.7121
_cell_angle_alpha 90.00
_cell_angle_beta 90.00
_cell_angle_gamma 120.00
loop_
_atom_site_label
_atom_site_type_symbol
_atom_site_fract_x
_atom_site_fract_y
_atom_site_fract_z
Nb1 Nb 0.0000 0.0000 0.0000
W1 W 0.0000 0.0000 0.5000
S1 S 0.0000 0.0000 0.4039
```

=====

# 8
A plane-wave DFT calculation with PBE was carried out for a relaxed structure of Nb2WS3.

**Formation energy (no corrections)**: -34.85 kJ per mole of atoms
**M_tot**: 0.000 μB per atom
**Total energy**: -7.940 eV/atom

The structure in CIF format:
```
data_Nb2WS3
_chemical_formula_sum 'Nb4 W2 S6'
_space_group_name_H-M_alt 'I m m 2'
_space_group_IT_number 44
_space_group_name_Hall 'I 2 -2'
_cell_length_a 3.141
_cell_length_b 12.078
_cell_length_c 5.770
_cell_angle_alpha 90.00
_cell_angle_beta 90.00
_cell_angle_gamma 90.00
loop_
_atom_site_label
_atom_site_type_symbol
_atom_site_fract_x
_atom_site_fract_y
_atom_site_fract_z
Nb1 Nb 0.000 0.194 0.000
W1 W 0.000 0.500 0.092
S1 S 0.000 0.000 0.889
S2 S 0.000 0.367 0.794
```

=====

# 9
A plane-wave DFT calculation with PBE was carried out for a relaxed structure of NbWS.

**Formation energy (no corrections)**: -27.90 kJ per mole of atoms
**M_tot**: 0.000 μB per atom
**Total energy**: -9.339 eV/atom
**Energy above the most stable polymorph in this dataset**: 19 meV per atom

The structure in CIF format:
```
data_NbWS
_chemical_formula_sum 'Nb2 W2 S2'
_space_group_name_H-M_alt 'P 1 m 1'
_space_group_IT_number 6
_space_group_name_Hall 'P -2y'
_cell_length_a 4.843
_cell_length_b 3.190
_cell_length_c 6.486
_cell_angle_alpha 90.00
_cell_angle_beta 109.56
_cell_angle_gamma 90.00
loop_
_atom_site_label
_atom_site_type_symbol
_atom_site_fract_x
_atom_site_fract_y
_atom_site_fract_z
Nb1 Nb 0.000 0.000 0.000
Nb2 Nb 0.009 0.000 0.492
W1 W 0.412 0.500 0.354
W2 W 0.416 0.500 0.846
S1 S 0.593 0.000 0.145
S2 S 0.805 0.500 0.696
```

=====

# 10
A plane-wave DFT calculation with PBE was carried out for a relaxed structure of NbWS3.

**Formation energy (no corrections)**: 73.71 kJ per mole of atoms
**M_tot**: 0.910 μB per atom
**Total energy**: -6.317 eV/atom
**Energy above the most stable polymorph in this dataset**: 283 meV per atom

The structure in CIF format:
```
data_NbWS3
_chemical_formula_sum 'Nb1 W1 S3'
_space_group_name_H-M_alt 'P m -3 m'
_space_group_IT_number 221
_space_group_name_Hall '-P 4 2 3'
_cell_length_a 4.769
_cell_length_b 4.769
_cell_length_c 4.769
_cell_angle_alpha 90.00
_cell_angle_beta 90.00
_cell_angle_gamma 90.00
loop_
_atom_site_label
_atom_site_type_symbol
_atom_site_fract_x
_atom_site_fract_y
_atom_site_fract_z
Nb1 Nb 0.000 0.000 0.000
W1 W 0.500 0.500 0.500
S1 S 0.000 0.000 0.500
```

=====

# 11
A plane-wave DFT calculation with PBE was carried out for a relaxed structure of Nb2WS.

**Formation energy (no corrections)**: 25.28 kJ per mole of atoms
**M_tot**: 0.000 μB per atom
**Total energy**: -9.043 eV/atom

The structure in CIF format:
```
data_Nb2WS
_chemical_formula_sum 'Nb6 W3 S3'
_space_group_name_H-M_alt 'R -3 m'
_space_group_IT_number 166
_space_group_name_Hall '-R 3 2"'
_cell_length_a 2.9591
_cell_length_b 2.9591
_cell_length_c 27.3791
_cell_angle_alpha 90.00
_cell_angle_beta 90.00
_cell_angle_gamma 120.00
loop_
_atom_site_label
_atom_site_type_symbol
_atom_site_fract_x
_atom_site_fract_y
_atom_site_fract_z
Nb1 Nb 0.0000 0.0000 0.0968
W1 W 0.0000 0.0000 0.0000
S1 S 0.0000 0.0000 0.5000
```

=====

# 12
A plane-wave DFT calculation with PBE was carried out for a relaxed structure of NbWS.

**Formation energy (no corrections)**: -18.55 kJ per mole of atoms
**M_tot**: 0.000 μB per atom
**Total energy**: -9.242 eV/atom
**Energy above the most stable polymorph in this dataset**: 116 meV per atom

The structure in CIF format:
```
data_NbWS
_chemical_formula_sum 'Nb4 W4 S4'
_space_group_name_H-M_alt 'C 1 m 1'
_space_group_IT_number 8
_space_group_name_Hall 'C -2y'
_cell_length_a 10.214
_cell_length_b 3.185
_cell_length_c 6.670
_cell_angle_alpha 90.00
_cell_angle_beta 115.53
_cell_angle_gamma 90.00
loop_
_atom_site_label
_atom_site_type_symbol
_atom_site_fract_x
_atom_site_fract_y
_atom_site_fract_z
Nb1 Nb 0.000 0.000 0.000
Nb2 Nb 0.223 0.000 0.787
W1 W 0.011 0.500 0.369
W2 W 0.266 0.500 0.169
S1 S 0.011 0.500 0.724
S2 S 0.207 0.000 0.401
```